[1]
Density functional theory data (PBE-GGA) for a relaxed structure of ReMoAs2.

```
ReMoAs2
1.0
4.3889 0.0000 0.0000
0.0000 4.3889 0.0000
0.0000 0.0000 3.1044
Re Mo As
1 1 2
Cartesian
0.0000 0.0000 0.0000
2.1944 2.1944 0.0000
0.0000 2.1944 1.5522
2.1944 0.0000 1.5522
```

Properties
- Calculated total energy: -8.02 eV/atom
- Formation enthalpy at 0 K: 0.12 eV/atom
- Symmetry: No. 123
- Size of the total moment: 0.00 μB/cell
- Energy above the most stable polymorph in this dataset: 79 meV per atom


[2]
Density functional theory data (PBE-GGA) for a relaxed structure of LaCr2Ag.

```
LaCr2Ag
1.0
2.8863 0.0000 0.0000
0.0000 4.4175 0.0000
-0.0094 0.0000 6.2187
La Cr Ag
1 2 1
Cartesian
0.0000 0.0000 0.0000
2.8820 2.2087 2.1747
-0.0051 2.2087 4.0440
1.4385 0.0000 3.1094
```

Properties
- Calculated total energy: -6.05 eV/atom
- Formation enthalpy at 0 K: 0.70 eV/atom
- Symmetry: No. 10
- Size of the total moment: 0.00 μB/cell
- Energy above the most stable polymorph in this dataset: 407 meV per atom


[3]
Density functional theory data (PBE-GGA) for a relaxed structure of La2Sm7Ho4.

```
La2Sm7Ho4
1.0
6.1853 0.0000 0.0000
-3.0926 5.3566 0.0000
0.0000 0.0000 13.2714
La Sm Ho
2 7 4
Cartesian
0.0000 3.5711 0.0000
3.0926 1.7855 0.0000
0.0000 0.0000 0.0000
-1.1342 1.9646 2.9584
-1.9584 3.3920 10.3130
2.2685 0.0000 2.9584
1.1342 1.9646 10.3130
3.9168 0.0000 10.3130
1.9584 3.3920 2.9584
0.0000 0.0000 5.2267
0.0000 0.0000 8.0447
0.0000 3.5711 6.6357
3.0926 1.7855 6.6357
```

Properties
- Calculated total energy: -4.53 eV/atom
- Formation enthalpy at 0 K: 0.18 eV/atom
- Symmetry: No. 162
- Size of the total moment: 0.00 μB/cell


[4]
Density functional theory data (PBE-GGA) for a relaxed structure of Ta4Cr3Fe.

```
Ta4Cr3Fe
1.0
3.0809 0.0000 0.0000
0.0000 4.3654 0.0000
0.0000 0.0000 8.7342
Ta Cr Fe
4 3 1
Cartesian
0.0000 0.0000 0.0000
0.0000 0.0000 4.3671
0.0000 2.1827 2.1747
0.0000 2.1827 6.5595
1.5404 0.0000 2.1565
1.5404 0.0000 6.5776
1.5404 2.1827 4.3671
1.5404 2.1827 0.0000
```

Properties
- Calculated total energy: -10.68 eV/atom
- Formation enthalpy at 0 K: -0.09 eV/atom
- Symmetry: No. 47
- Size of the total moment: 0.04 μB/cell


[5]
Density functional theory data (PBE-GGA) for a relaxed structure of RbNaSr2Ag.

```
RbNaSr2Ag
1.0
6.3031 0.0000 0.0000
0.0000 6.3031 0.0000
0.0000 0.0000 6.2569
Rb Na Sr Ag
1 1 2 1
Cartesian
0.0000 0.0000 0.0000
3.1516 3.1516 0.0000
0.0000 3.1516 3.1284
3.1516 0.0000 3.1284
3.1516 3.1516 3.1284
```

Properties
- Calculated total energy: -1.69 eV/atom
- Formation enthalpy at 0 K: 0.01 eV/atom
- Symmetry: No. 123
- Size of the total moment: 0.00 μB/cell
- Energy above the most stable polymorph in this dataset: 0 meV per atom


[6]
Density functional theory data (PBE-GGA) for a relaxed structure of TiV2SbRu.

```
TiV2SbRu
1.0
4.5894 0.0000 0.0000
0.0000 4.5894 0.0000
0.0000 0.0000 4.9735
Ti V Sb Ru
1 2 1 1
Cartesian
0.0000 0.0000 0.0000
0.0000 2.2947 2.4867
2.2947 0.0000 2.4867
2.2947 2.2947 0.0000
2.2947 2.2947 2.4867
```

Properties
- Raw formation energy: 0.861 eV per atom
- Calculated total energy: -7.04 eV/atom
- Symmetry: No. 123
- Size of the total moment: 2.67 μB/cell